Record 1
# HoGa5Co, relaxed, DFT PBE
data_HoGa5Co
_symmetry_space_group_name_H-M 'P 4/m m m'
_symmetry_Int_Tables_number 123
_symmetry_space_group_name_Hall '-P 4 2'
_cell_length_a 4.206
_cell_length_b 4.206
_cell_length_c 6.801
_cell_angle_alpha 90.00
_cell_angle_beta 90.00
_cell_angle_gamma 90.00
loop_
_atom_site_label
_atom_site_type_symbol
_atom_site_fract_x
_atom_site_fract_y
_atom_site_fract_z
Ho1 Ho 0.000 0.000 0.000
Ga1 Ga 0.000 0.500 0.310
Ga2 Ga 0.500 0.500 0.000
Co1 Co 0.000 0.000 0.500
# DFT total energy (eV/atom): -4.298

Record 2
# Ho4Ga12Co, relaxed, DFT PBE
data_Ho4Ga12Co
_symmetry_space_group_name_H-M 'I m -3 m'
_symmetry_Int_Tables_number 229
_symmetry_space_group_name_Hall '-I 4 2 3'
_cell_length_a 8.530
_cell_length_b 8.530
_cell_length_c 8.530
_cell_angle_alpha 90.00
_cell_angle_beta 90.00
_cell_angle_gamma 90.00
loop_
_atom_site_label
_atom_site_type_symbol
_atom_site_fract_x
_atom_site_fract_y
_atom_site_fract_z
Ho1 Ho 0.250 0.250 0.250
Ga1 Ga 0.000 0.000 0.283
Ga2 Ga 0.000 0.250 0.500
Co1 Co 0.000 0.000 0.000
# DFT total energy (eV/atom): -4.183

Record 3
# HoGaCo, relaxed, DFT PBE
data_HoGaCo
_symmetry_space_group_name_H-M 'F -4 3 m'
_symmetry_Int_Tables_number 216
_symmetry_space_group_name_Hall 'F -4 2 3'
_cell_length_a 6.385
_cell_length_b 6.385
_cell_length_c 6.385
_cell_angle_alpha 90.00
_cell_angle_beta 90.00
_cell_angle_gamma 90.00
loop_
_atom_site_label
_atom_site_type_symbol
_atom_site_fract_x
_atom_site_fract_y
_atom_site_fract_z
Ho1 Ho 0.000 0.000 0.000
Ga1 Ga 0.250 0.250 0.750
Co1 Co 0.250 0.250 0.250
# DFT total energy (eV/atom): -4.419

Record 4
# Ho6GaCo2, relaxed, DFT PBE
data_Ho6GaCo2
_symmetry_space_group_name_H-M 'I m m m'
_symmetry_Int_Tables_number 71
_symmetry_space_group_name_Hall '-I 2 2'
_cell_length_a 9.191
_cell_length_b 9.465
_cell_length_c 9.791
_cell_angle_alpha 90.00
_cell_angle_beta 90.00
_cell_angle_gamma 90.00
loop_
_atom_site_label
_atom_site_type_symbol
_atom_site_fract_x
_atom_site_fract_y
_atom_site_fract_z
Ho1 Ho 0.000 0.197 0.238
Ho2 Ho 0.189 0.500 0.174
Ho3 Ho 0.219 0.319 0.500
Ga1 Ga 0.000 0.000 0.000
Ga2 Ga 0.000 0.000 0.500
Co1 Co 0.000 0.337 0.000
Co2 Co 0.000 0.500 0.385
# DFT total energy (eV/atom): -5.271

Record 5
# HoGaCo, relaxed, DFT PBE
data_HoGaCo
_symmetry_space_group_name_H-M 'P n m a'
_symmetry_Int_Tables_number 62
_symmetry_space_group_name_Hall '-P 2ac 2n'
_cell_length_a 7.001
_cell_length_b 4.395
_cell_length_c 6.847
_cell_angle_alpha 90.00
_cell_angle_beta 90.00
_cell_angle_gamma 90.00
loop_
_atom_site_label
_atom_site_type_symbol
_atom_site_fract_x
_atom_site_fract_y
_atom_site_fract_z
Ho1 Ho 0.022 0.250 0.196
Ga1 Ga 0.196 0.250 0.606
Co1 Co 0.154 0.750 0.436
# DFT total energy (eV/atom): -5.411

Record 6
# Ho6Ga21Co7, relaxed, DFT PBE
data_Ho6Ga21Co7
_symmetry_space_group_name_H-M 'P 4/m b m'
_symmetry_Int_Tables_number 127
_symmetry_space_group_name_Hall '-P 4 2ab'
_cell_length_a 16.625
_cell_length_b 16.625
_cell_length_c 4.124
_cell_angle_alpha 90.00
_cell_angle_beta 90.00
_cell_angle_gamma 90.00
loop_
_atom_site_label
_atom_site_type_symbol
_atom_site_fract_x
_atom_site_fract_y
_atom_site_fract_z
Ho1 Ho 0.087 0.158 0.000
Ho2 Ho 0.107 0.607 0.500
Ga1 Ga 0.000 0.500 0.000
Ga2 Ga 0.032 0.890 0.500
Ga3 Ga 0.042 0.271 0.500
Ga4 Ga 0.075 0.425 0.500
Ga5 Ga 0.076 0.741 0.000
Ga6 Ga 0.178 0.790 0.500
Ga7 Ga 0.179 0.321 0.000
Co1 Co 0.000 0.000 0.000
Co2 Co 0.036 0.351 0.000
Co3 Co 0.219 0.719 0.000
# DFT total energy (eV/atom): -4.626

Record 7
# Ho2GaCoI2, relaxed, DFT PBE
data_Ho2GaCoI2
_symmetry_space_group_name_H-M 'P 3 m 1'
_symmetry_Int_Tables_number 156
_symmetry_space_group_name_Hall 'P 3 -2"'
_cell_length_a 4.1276
_cell_length_b 4.1276
_cell_length_c 11.7387
_cell_angle_alpha 90.00
_cell_angle_beta 90.00
_cell_angle_gamma 120.00
loop_
_atom_site_label
_atom_site_type_symbol
_atom_site_fract_x
_atom_site_fract_y
_atom_site_fract_z
Ho1 Ho 0.0000 0.0000 0.0000
Ho2 Ho 0.0000 0.0000 0.3080
Ga1 Ga 0.3333 0.6667 0.1556
Co1 Co 0.6667 0.3333 0.1541
I1 I 0.3333 0.6667 0.8221
I2 I 0.6667 0.3333 0.4868
# DFT total energy (eV/atom): -4.634

Record 8
# HoIn4GaCo, relaxed, DFT PBE
data_HoIn4GaCo
_symmetry_space_group_name_H-M 'P 4/m m m'
_symmetry_Int_Tables_number 123
_symmetry_space_group_name_Hall '-P 4 2'
_cell_length_a 4.494
_cell_length_b 4.494
_cell_length_c 7.451
_cell_angle_alpha 90.00
_cell_angle_beta 90.00
_cell_angle_gamma 90.00
loop_
_atom_site_label
_atom_site_type_symbol
_atom_site_fract_x
_atom_site_fract_y
_atom_site_fract_z
Ho1 Ho 0.000 0.000 0.000
In1 In 0.000 0.500 0.303
Ga1 Ga 0.500 0.500 0.000
Co1 Co 0.000 0.000 0.500
# DFT total energy (eV/atom): -3.917

Record 9
# HoScGa2Co4, relaxed, DFT PBE
data_HoScGa2Co4
_symmetry_space_group_name_H-M 'P -6 m 2'
_symmetry_Int_Tables_number 187
_symmetry_space_group_name_Hall 'P -6 2'
_cell_length_a 4.0995
_cell_length_b 4.0995
_cell_length_c 8.3740
_cell_angle_alpha 90.00
_cell_angle_beta 90.00
_cell_angle_gamma 120.00
loop_
_atom_site_label
_atom_site_type_symbol
_atom_site_fract_x
_atom_site_fract_y
_atom_site_fract_z
Ho1 Ho 0.0000 0.0000 0.0000
Sc1 Sc 0.6667 0.3333 0.5000
Ga1 Ga 0.3333 0.6667 0.2626
Co1 Co 0.0000 0.0000 0.3409
Co2 Co 0.6667 0.3333 0.1941
# DFT total energy (eV/atom): -5.965

Record 10
# YHoGaCo2, relaxed, DFT PBE
data_YHoGaCo2
_symmetry_space_group_name_H-M 'A m m 2'
_symmetry_Int_Tables_number 38
_symmetry_space_group_name_Hall 'A 2 -2'
_cell_length_a 3.889
_cell_length_b 3.756
_cell_length_c 13.023
_cell_angle_alpha 90.00
_cell_angle_beta 90.00
_cell_angle_gamma 90.00
loop_
_atom_site_label
_atom_site_type_symbol
_atom_site_fract_x
_atom_site_fract_y
_atom_site_fract_z
Y1 Y 0.000 0.000 0.000
Ho1 Ho 0.000 0.000 0.733
Ga1 Ga 0.500 0.000 0.367
Co1 Co 0.500 0.000 0.169
Co2 Co 0.500 0.000 0.569
# DFT total energy (eV/atom): -6.024

Record 11
# Ho2Zn3GaCo2, relaxed, DFT PBE
data_Ho2Zn3GaCo2
_symmetry_space_group_name_H-M 'C 1 m 1'
_symmetry_Int_Tables_number 8
_symmetry_space_group_name_Hall 'C -2y'
_cell_length_a 9.470
_cell_length_b 4.003
_cell_length_c 7.114
_cell_angle_alpha 90.00
_cell_angle_beta 90.38
_cell_angle_gamma 90.00
loop_
_atom_site_label
_atom_site_type_symbol
_atom_site_fract_x
_atom_site_fract_y
_atom_site_fract_z
Ho1 Ho 0.000 0.000 0.000
Ho2 Ho 0.133 0.000 0.500
Zn1 Zn 0.215 0.500 0.195
Zn2 Zn 0.415 0.000 0.303
Zn3 Zn 0.422 0.000 0.690
Ga1 Ga 0.216 0.500 0.803
Co1 Co 0.279 0.000 0.990
Co2 Co 0.347 0.500 0.502
# DFT total energy (eV/atom): -4.117

Record 12
# Tm2GaCoI2, relaxed, DFT PBE
data_Tm2GaCoI2
_symmetry_space_group_name_H-M 'P 3 m 1'
_symmetry_Int_Tables_number 156
_symmetry_space_group_name_Hall 'P 3 -2"'
_cell_length_a 4.1185
_cell_length_b 4.1185
_cell_length_c 11.6927
_cell_angle_alpha 90.00
_cell_angle_beta 90.00
_cell_angle_gamma 120.00
loop_
_atom_site_label
_atom_site_type_symbol
_atom_site_fract_x
_atom_site_fract_y
_atom_site_fract_z
Tm1 Tm 0.0000 0.0000 0.0000
Tm2 Tm 0.0000 0.0000 0.3041
Ga1 Ga 0.3333 0.6667 0.1538
Co1 Co 0.6667 0.3333 0.1525
I1 I 0.3333 0.6667 0.8224
I2 I 0.6667 0.3333 0.4820
# DFT total energy (eV/atom): -4.585